# Rb8Sb2S

A relaxed Rb8Sb2S crystal (PBE, Alexandria).

Geometry as POSCAR:
```
Rb8Sb2S
1.0
-5.378 -2.113 2.687
-0.671 -1.082 -9.752
5.558 -7.925 4.892
Rb Sb S
8 2 1
Direct
0.506 0.012 0.314
0.703 0.405 0.059
0.806 0.611 0.457
0.902 0.803 0.888
0.194 0.389 0.543
0.297 0.595 0.941
0.494 0.988 0.686
0.098 0.197 0.112
0.694 0.389 0.702
0.306 0.611 0.298
0.500 0.000 0.000
```

As for the crystal system: monoclinic. For the total magnetic moment, the calculation gives 0.00 μB per formula unit. The uncorrected formation energy is -0.453 eV/atom. The calculation puts the distance to the lowest polymorph of the same formula at 53 meV/atom.

# CoIr5

A relaxed CoIr5 crystal (PBE, Alexandria).

Geometry as POSCAR:
```
CoIr5
1.0
-2.089 -4.515 -5.154
4.107 4.845 3.313
2.263 -3.219 1.903
Co Ir
1 5
Direct
0.999 0.001 0.000
0.221 0.779 0.500
0.337 0.663 0.000
0.554 0.446 0.500
0.664 0.336 0.000
0.892 0.108 0.500
```

As for the crystal system: orthorhombic. For the total magnetic moment, the calculation gives 1.95 μB per formula unit. The value obtained for the formation energy is 0.064 eV per atom.

# La8Ge3CI4

A relaxed La8Ge3CI4 crystal (PBE, Alexandria).

Geometry as POSCAR:
```
La8Ge3CI4
1.0
8.679 0.000 0.000
0.000 9.351 0.476
-4.339 -4.340 6.136
La Ge C I
8 3 1 4
Direct
0.215 0.689 0.974
0.215 0.689 0.430
0.265 0.295 0.530
0.759 0.689 0.974
0.241 0.311 0.026
0.735 0.705 0.470
0.785 0.311 0.570
0.785 0.311 0.026
0.500 0.500 0.000
0.500 0.500 0.500
0.000 0.500 0.500
0.000 0.500 0.000
0.500 0.000 0.000
0.500 0.000 0.500
0.000 0.000 0.000
0.000 0.000 0.500
```

As for the crystal system: trigonal. For the total magnetic moment, the calculation gives 0.00 μB per formula unit. The uncorrected formation energy is -0.982 eV/atom.

# CrNi2Ir3

A relaxed CrNi2Ir3 crystal (PBE, Alexandria).

Geometry as POSCAR:
```
CrNi2Ir3
1.0
4.592 0.000 0.000
0.000 4.760 -2.428
0.000 0.558 6.972
Cr Ni Ir
2 4 6
Direct
0.750 0.355 0.709
0.250 0.645 0.291
0.000 0.735 0.000
0.500 0.265 0.000
0.000 0.265 0.000
0.500 0.735 0.000
0.750 0.861 0.722
0.250 0.139 0.278
0.750 0.933 0.367
0.250 0.067 0.633
0.750 0.434 0.367
0.250 0.566 0.633
```

As for the crystal system: orthorhombic. For the total magnetic moment, the calculation gives 0.35 μB per formula unit. The value obtained for the formation energy is 0.061 eV per atom.

# LiCd6Ag12

A relaxed LiCd6Ag12 crystal (PBE, Alexandria).

Geometry as POSCAR:
```
LiCd6Ag12
1.0
-1.563 -1.341 6.834
6.981 -0.672 1.329
0.294 7.011 1.307
Li Cd Ag
1 6 12
Direct
0.000 0.000 0.000
0.724 0.885 0.263
0.737 0.276 0.115
0.115 0.737 0.276
0.276 0.115 0.737
0.263 0.724 0.885
0.885 0.263 0.724
0.795 0.530 0.447
0.447 0.795 0.530
0.530 0.447 0.795
0.205 0.470 0.553
0.553 0.205 0.470
0.470 0.553 0.205
0.045 0.149 0.367
0.851 0.633 0.955
0.633 0.955 0.851
0.955 0.851 0.633
0.149 0.367 0.045
0.367 0.045 0.149
```

As for the crystal system: trigonal. For the total magnetic moment, the calculation gives 0.00 μB per formula unit. The value obtained for the formation energy is -0.022 eV per atom. The calculation puts the distance to the lowest polymorph of the same formula at 36 meV/atom.

# YBe2Tl2

A relaxed YBe2Tl2 crystal (PBE, Alexandria).

Geometry as POSCAR:
```
YBe2Tl2
1.0
4.236 0.000 0.000
0.000 4.236 0.000
2.118 2.118 5.498
Y Be Tl
1 2 2
Direct
0.000 0.000 0.000
0.750 0.250 0.500
0.250 0.750 0.500
0.369 0.369 0.262
0.631 0.631 0.738
```

As for the crystal system: tetragonal. For the total magnetic moment, the calculation gives 0.00 μB per formula unit. The value obtained for the formation energy is 0.160 eV per atom.

Copy entry 6 word for word.
# YBe2Tl2

A relaxed YBe2Tl2 crystal (PBE, Alexandria).

Geometry as POSCAR:
```
YBe2Tl2
1.0
4.236 0.000 0.000
0.000 4.236 0.000
2.118 2.118 5.498
Y Be Tl
1 2 2
Direct
0.000 0.000 0.000
0.750 0.250 0.500
0.250 0.750 0.500
0.369 0.369 0.262
0.631 0.631 0.738
```

As for the crystal system: tetragonal. For the total magnetic moment, the calculation gives 0.00 μB per formula unit. The value obtained for the formation energy is 0.160 eV per atom.

> The highest total magnetic moment belongs to which entry?

CoIr5

> Which of these has the highest total magnetic moment?

CoIr5